An optimized crystal structure of PrSm4In, computed with PBE.

Values from the calculation:
For the energy, the calculation gives -4.537 eV per atom. The value obtained for the formation enthalpy at 0 K is -137 meV/atom. As for the density: 7.50 g/cm³. The volume is 31.64 Å³ per atom. The calculation puts the energy above the lowest structure with this stoichiometry at 0.0048 eV/atom. The spin magnetization is 0.00 μB/cell.

Cell lengths 8.038, 8.038, 10.116 Å; angles 90.00, 90.00, 144.49 degrees
Fractional coordinates of all 12 atoms:
Pr (0.169, 0.831, 0.500)
Pr (0.831, 0.169, 0.000)
Sm (0.006, 0.994, 0.749)
Sm (0.168, 0.832, 0.999)
Sm (0.327, 0.673, 0.750)
Sm (0.499, 0.501, 0.499)
Sm (0.501, 0.499, 0.999)
Sm (0.673, 0.327, 0.250)
Sm (0.832, 0.168, 0.499)
Sm (0.994, 0.006, 0.249)
In (0.334, 0.666, 0.251)
In (0.666, 0.334, 0.751)